The following is a DFT calculation (PBE) of a relaxed structure of PmHo2Te2.

The space group is C2/m (No. 12) and the conventional cell measures 7.129, 5.963 and 7.414 Å, with angles of 90.00, 104.84 and 90.00 degrees. The inequivalent atoms are Pm at (0.000, 0.000, 0.000), Ho at (0.000, 0.248, 0.500) and Te at (0.172, 0.500, 0.211).

The total energy comes out at -48.026 eV/cell.

---

The following is a DFT calculation (PBE) of a relaxed structure of CaZn2Hg2.

The space group is I4/mmm (No. 139) and the conventional cell measures 4.224, 4.224 and 12.759 Å, with angles of 90.00, 90.00 and 90.00 degrees. The inequivalent atoms are Ca at (0.000, 0.000, 0.000), Zn at (0.000, 0.500, 0.250) and Hg at (0.000, 0.000, 0.388).

For the energy relative to the lowest polymorph listed for this composition, the calculation gives 0.000 eV per atom. As for the formation energy: -5.17 kcal/mol of atoms.

---

The following is a DFT calculation (PBE) of a relaxed structure of Mn2MoRh.

The space group is P4/mmm (No. 123) and the conventional cell measures 4.169, 4.169 and 3.194 Å, with angles of 90.00, 90.00 and 90.00 degrees. The inequivalent atoms are Mn at (0.000, 0.500, 0.000), Mo at (0.000, 0.000, 0.500) and Rh at (0.500, 0.500, 0.500).

As for the formation energy: -0.85 kcal/mol of atoms.

---

The following is a DFT calculation (PBE) of a relaxed structure of LaAg2Hg.

The space group is Pm (No. 6) and the conventional cell measures 3.437, 4.982 and 5.853 Å, with angles of 90.00, 90.20 and 90.00 degrees. The inequivalent atoms are La at (0.000, 0.000, 0.000), Ag at (0.499, 0.000, 0.510), Ag at (0.499, 0.500, 0.751) and Hg at (0.502, 0.500, 0.262).

As for the formation energy: -3.85 kcal/mol of atoms.

---

Across the entries above, volume takes the values 305 228 56 100 Å³/cell, respectively.
Across the entries above, total magnetization takes the values 0.00 0.00 1.24 0.02 μB/atom, respectively.